Entry from the Alexandria database: a relaxed structure of La4Nd5Sc2 (PBE-GGA).

## Properties
formation enthalpy at 0 K	0.26	eV per atom
total DFT energy (no corrections)	-4.850	eV/atom
space-group type	Immm
Fermi-level density of states	16.1	states/eV per cell

a b c (Å): 3.497 9.925 12.178
angles (deg): 114.05 98.26 90.00
Positions (direct):
La 0.000 0.286 0.000
La 0.594 0.594 0.188
La 0.000 0.714 0.000
La 0.406 0.406 0.812
Nd 0.838 0.057 0.677
Nd 0.838 0.620 0.677
Nd 0.162 0.380 0.323
Nd 0.162 0.943 0.323
Nd 0.500 0.000 0.000
Sc 0.270 0.270 0.539
Sc 0.730 0.730 0.461